Crystalline In2AgOs at its relaxed geometry, computed with PBE.

Results
**DOS(E_F)**: 0.70 states/eV per atom
**Formation enthalpy at 0 K**: 0.389 eV/atom

The structure in CIF format:
```
data_In2AgOs
_chemical_formula_sum 'In2 Ag1 Os1'
_cell_length_a 9.3435
_cell_length_b 9.3435
_cell_length_c 9.3435
_cell_angle_alpha 19.12
_cell_angle_beta 19.12
_cell_angle_gamma 19.12
_symmetry_space_group_name_H-M 'P 1'
_symmetry_Int_Tables_number 1
loop_
_symmetry_equiv_pos_as_xyz
'x,y,z'
loop_
_atom_site_label
_atom_site_type_symbol
_atom_site_fract_x
_atom_site_fract_y
_atom_site_fract_z
In1 In 0.2448 0.2448 0.2448
In2 In 0.7552 0.7552 0.7552
Ag1 Ag 0.0000 0.0000 0.0000
Os1 Os 0.5000 0.5000 0.5000
```